Entry 1:
{
  "formula": "BeGaMoPt2",
  "functional": "PBE-GGA",
  "state": "relaxed",
  "lattice": [[4.644, 0.000, 0.000], [0.000, 4.099, 0.000], [0.000, 0.000, 4.644]],
  "species": ["Be", "Mo", "Ga", "Pt", "Pt"],
  "fractional_positions": [[0.000, 0.500, 0.000], [0.500, 0.500, 0.500], [0.000, 0.000, 0.000], [0.000, 0.000, 0.500], [0.500, 0.000, 0.000]],
  "ef_ev_per_atom": 0.86,
  "dft_energy_ev_per_atom": -5.0769
}

---

Entry 2:
{
  "formula": "TbZn6Ir4",
  "functional": "PBE-GGA",
  "state": "relaxed",
  "lattice": [[6.620, -0.165, -0.243], [-3.207, 5.794, 0.243], [-3.207, -1.905, 5.477]],
  "species": ["Tb", "Zn", "Zn", "Zn", "Zn", "Zn", "Zn", "Ir", "Ir", "Ir", "Ir"],
  "fractional_positions": [[0.000, 0.000, 0.000], [0.000, 0.891, 0.527], [0.000, 0.527, 0.891], [0.636, 0.109, 0.109], [0.500, 0.000, 0.500], [0.364, 0.473, 0.473], [0.500, 0.500, 0.000], [0.000, 0.253, 0.607], [0.646, 0.393, 0.393], [0.000, 0.607, 0.253], [0.354, 0.747, 0.747]],
  "ef_ev_per_atom": -0.07,
  "dft_energy_ev_per_atom": -4.4126
}

---

Entry 3:
{
  "formula": "Ag5I2Br12",
  "functional": "PBE-GGA",
  "state": "relaxed",
  "lattice": [[7.303, 4.915, -1.038], [2.378, 11.528, -4.114], [2.205, 1.098, 8.801]],
  "species": ["Ag", "Ag", "Ag", "Ag", "Ag", "I", "I", "Br", "Br", "Br", "Br", "Br", "Br", "Br", "Br", "Br", "Br", "Br", "Br"],
  "fractional_positions": [[0.861, 0.313, 0.368], [0.550, 0.822, 0.398], [0.000, 0.500, 0.000], [0.450, 0.178, 0.602], [0.139, 0.687, 0.632], [0.357, 0.823, 0.857], [0.643, 0.177, 0.143], [0.839, 0.880, 0.002], [0.827, 0.100, 0.380], [0.251, 0.132, 0.432], [0.908, 0.499, 0.295], [0.464, 0.479, 0.291], [0.467, 0.277, 0.913], [0.533, 0.723, 0.087], [0.092, 0.501, 0.705], [0.536, 0.521, 0.709], [0.173, 0.900, 0.620], [0.749, 0.868, 0.568], [0.161, 0.120, 0.998]],
  "formation_energy_uncorrected_mev_per_atom": -167,
  "dft_energy_ev_per_atom": -2.1375
}

---

Entry 4:
{
  "formula": "CaCdAgRh",
  "functional": "PBE-GGA",
  "state": "relaxed",
  "lattice": [[-1.351, 3.913, -2.467], [-3.685, 2.682, 1.565], [0.815, 4.391, 1.812]],
  "species": ["Ca", "Rh", "Ag", "Cd"],
  "fractional_positions": [[0.250, 0.250, 0.250], [0.500, 0.500, 0.500], [0.000, 0.000, 0.000], [0.750, 0.750, 0.750]],
  "ef_ev_per_atom": -0.22,
  "dft_energy_ev_per_atom": -3.4956
}

---

Entry 5:
{
  "formula": "Pu4TlAu2",
  "functional": "PBE-GGA",
  "state": "relaxed",
  "lattice": [[5.599, 0.000, -1.692], [-0.511, 5.575, -1.692], [-0.962, -1.054, 6.928]],
  "species": ["Tl", "Au", "Au", "Pu", "Pu", "Pu", "Pu"],
  "fractional_positions": [[0.000, 0.000, 0.000], [0.632, 0.632, 0.263], [0.368, 0.368, 0.737], [0.750, 0.250, 0.500], [0.250, 0.750, 0.500], [0.500, 0.000, 0.000], [0.000, 0.500, 0.000]],
  "ef_ev_per_atom": 0.14,
  "dft_energy_ev_per_atom": -9.3263
}

---

Entry 6:
{
  "formula": "Ba2LiLaRh",
  "functional": "PBE-GGA",
  "state": "relaxed",
  "lattice": [[6.311, 0.000, 0.000], [0.000, 6.311, 0.000], [0.000, 0.000, 5.392]],
  "species": ["Li", "Rh", "Ba", "Ba", "La"],
  "fractional_positions": [[0.500, 0.500, 0.500], [0.000, 0.000, 0.000], [0.000, 0.500, 0.000], [0.500, 0.000, 0.000], [0.000, 0.000, 0.500]],
  "ef_ev_per_atom": -0.14,
  "dft_energy_ev_per_atom": -3.7471
}

---

Entry 7:
{
  "formula": "DyPaNi",
  "functional": "PBE-GGA",
  "state": "relaxed",
  "lattice": [[6.806, 0.000, 0.000], [0.000, 5.831, -1.205], [0.000, -4.356, 7.862]],
  "species": ["Pa", "Pa", "Pa", "Pa", "Ni", "Ni", "Ni", "Ni", "Dy", "Dy", "Dy", "Dy"],
  "fractional_positions": [[0.323, 0.396, 0.518], [0.177, 0.896, 0.018], [0.677, 0.604, 0.482], [0.823, 0.104, 0.982], [0.020, 0.770, 0.659], [0.480, 0.270, 0.159], [0.980, 0.230, 0.341], [0.520, 0.730, 0.841], [0.350, 0.188, 0.810], [0.150, 0.688, 0.310], [0.650, 0.812, 0.190], [0.850, 0.312, 0.690]],
  "ef_ev_per_atom": -0.20,
  "polymorph_energy_ev_per_atom": 0.0000,
  "dft_energy_ev_per_atom": -6.8217
}

---

Entry 8:
{
  "formula": "MnCoOs2",
  "functional": "PBE-GGA",
  "state": "relaxed",
  "lattice": [[-1.293, -0.883, -3.390], [-2.042, -2.745, 1.494], [-2.791, 2.325, 0.459]],
  "species": ["Co", "Mn", "Os", "Os"],
  "fractional_positions": [[0.500, 0.000, 0.500], [0.000, 0.500, 0.500], [0.000, 0.000, 0.000], [0.500, 0.500, 0.000]],
  "ef_ev_per_atom": 0.07,
  "polymorph_energy_ev_per_atom": 0.0073,
  "dft_energy_ev_per_atom": -9.6121
}

---

Entry 9:
{
  "formula": "SrMgIn2Ge",
  "functional": "PBE-GGA",
  "state": "relaxed",
  "lattice": [[5.456, 0.000, 0.000], [0.000, 5.111, 0.000], [0.000, 0.000, 5.456]],
  "species": ["Sr", "Ge", "Mg", "In", "In"],
  "fractional_positions": [[0.500, 0.500, 0.500], [0.000, 0.500, 0.000], [0.000, 0.000, 0.000], [0.000, 0.000, 0.500], [0.500, 0.000, 0.000]],
  "ef_ev_per_atom": 0.04,
  "dft_energy_ev_per_atom": -2.6329
}

---

Entry 10:
{
  "formula": "Zn3NiPt12",
  "functional": "PBE-GGA",
  "state": "relaxed",
  "lattice": [[3.915, 0.000, 0.000], [0.000, 3.915, 0.000], [0.000, 0.000, 15.725]],
  "species": ["Zn", "Zn", "Zn", "Ni", "Pt", "Pt", "Pt", "Pt", "Pt", "Pt", "Pt", "Pt", "Pt", "Pt", "Pt", "Pt"],
  "fractional_positions": [[0.000, 0.000, 0.249], [0.000, 0.000, 0.500], [0.000, 0.000, 0.751], [0.000, 0.000, 0.000], [0.500, 0.500, 0.000], [0.500, 0.500, 0.248], [0.500, 0.500, 0.500], [0.500, 0.500, 0.752], [0.500, 0.000, 0.123], [0.500, 0.000, 0.374], [0.500, 0.000, 0.626], [0.500, 0.000, 0.877], [0.000, 0.500, 0.123], [0.000, 0.500, 0.374], [0.000, 0.500, 0.626], [0.000, 0.500, 0.877]],
  "ef_ev_per_atom": -0.27,
  "dft_energy_ev_per_atom": -5.4049
}

---

Entry 11:
{
  "formula": "ScUSb",
  "functional": "PBE-GGA",
  "state": "relaxed",
  "lattice": [[5.724, 0.000, 0.000], [-2.862, 4.957, 0.000], [0.000, 0.000, 16.589]],
  "species": ["Sb", "Sb", "Sb", "Sb", "Sb", "Sb", "U", "U", "U", "U", "U", "U", "Sc", "Sc", "Sc", "Sc", "Sc", "Sc"],
  "fractional_positions": [[0.500, 0.000, 0.667], [0.000, 0.000, 0.500], [0.000, 0.000, 0.833], [0.000, 0.000, 0.167], [0.500, 0.500, 0.000], [0.000, 0.500, 0.333], [0.373, 0.746, 0.167], [0.746, 0.373, 0.833], [0.627, 0.373, 0.500], [0.627, 0.254, 0.167], [0.373, 0.627, 0.500], [0.254, 0.627, 0.833], [0.500, 0.500, 0.314], [0.000, 0.500, 0.647], [0.500, 0.500, 0.686], [0.000, 0.500, 0.020], [0.500, 0.000, 0.980], [0.500, 0.000, 0.353]],
  "formation_energy_uncorrected_mev_per_atom": 45,
  "dft_energy_ev_per_atom": -7.2024
}

---

Entry 12:
{
  "formula": "HfScAs2",
  "functional": "PBE-GGA",
  "state": "relaxed",
  "lattice": [[6.078, 0.000, 0.000], [0.000, 6.078, 0.000], [3.039, 3.039, 6.014]],
  "species": ["Sc", "Sc", "As", "As", "As", "As", "Hf", "Hf"],
  "fractional_positions": [[0.500, 0.500, 0.000], [0.250, 0.750, 0.500], [0.632, 0.125, 0.250], [0.118, 0.625, 0.250], [0.375, 0.368, 0.750], [0.875, 0.882, 0.750], [0.000, 0.000, 0.000], [0.750, 0.250, 0.500]],
  "ef_ev_per_atom": -0.62,
  "polymorph_energy_ev_per_atom": 0.5770,
  "dft_energy_ev_per_atom": -7.0116
}

---

| no. | DOS at the Fermi energy (states/eV/cell) |
| --- | --- |
| 1 | 3.213 |
| 2 | 9.039 |
| 3 | 10.884 |
| 4 | 1.969 |
| 5 | 28.875 |
| 6 | 3.588 |
| 7 | 17.251 |
| 8 | 3.436 |
| 9 | 2.341 |
| 10 | 16.522 |
| 11 | 35.191 |
| 12 | 5.528 |